1.
# PBE Tc2GeIrAu, optimized geometry
# Size of the total moment ... 2.38 μB/f.u.
# Energy ... -6.001 eV per atom
# Density of states at the Fermi level ... 4.80 states/eV per cell
# E_form ... 1496 meV per atom
data_Tc2GeIrAu
_cell_length_a 4.703
_cell_length_b 4.703
_cell_length_c 5.094
_cell_angle_alpha 90.00
_cell_angle_beta 90.00
_cell_angle_gamma 90.00
_symmetry_space_group_name_H-M 'P 4/m m m'
_symmetry_Int_Tables_number 123
_symmetry_space_group_name_Hall '-P 4 2'
loop_
_atom_site_label
_atom_site_fract_x
_atom_site_fract_y
_atom_site_fract_z
Tc1 0.000 0.500 0.000
Ge1 0.000 0.000 0.500
Ir1 0.500 0.500 0.000
Au1 0.500 0.500 0.500

***

2.
# PBE BaCaZn2Au4, optimized geometry
# Size of the total moment ... 0.00 μB/f.u.
# Energy ... -2.992 eV per atom
# Density of states at the Fermi level ... 13.22 states/eV per cell
# E_form ... -544 meV per atom
data_BaCaZn2Au4
_cell_length_a 4.5956
_cell_length_b 4.5956
_cell_length_c 31.4010
_cell_angle_alpha 90.00
_cell_angle_beta 90.00
_cell_angle_gamma 120.00
_symmetry_space_group_name_H-M 'R -3 m'
_symmetry_Int_Tables_number 166
_symmetry_space_group_name_Hall '-R 3 2"'
loop_
_atom_site_label
_atom_site_fract_x
_atom_site_fract_y
_atom_site_fract_z
Ba1 0.0000 0.0000 0.0000
Ca1 0.0000 0.0000 0.5000
Zn1 0.0000 0.0000 0.2410
Au1 0.0000 0.0000 0.1111
Au2 0.0000 0.0000 0.4025

***

3.
# PBE Li2ZnAsS4, optimized geometry
# Size of the total moment ... 0.36 μB/f.u.
# Energy ... -3.953 eV per atom
# Density of states at the Fermi level ... 9.09 states/eV per cell
data_Li2ZnAsS4
_cell_length_a 5.645
_cell_length_b 5.645
_cell_length_c 10.671
_cell_angle_alpha 90.00
_cell_angle_beta 90.00
_cell_angle_gamma 90.00
_symmetry_space_group_name_H-M 'I -4'
_symmetry_Int_Tables_number 82
_symmetry_space_group_name_Hall 'I -4'
loop_
_atom_site_label
_atom_site_fract_x
_atom_site_fract_y
_atom_site_fract_z
Li1 0.000 0.000 0.000
Li2 0.000 0.500 0.250
Zn1 0.000 0.000 0.500
As1 0.000 0.500 0.750
S1 0.236 0.748 0.624

***

4.
# PBE K3Sn5Bi2, optimized geometry
# Size of the total moment ... 0.00 μB/f.u.
# Energy ... -3.293 eV per atom
# Density of states at the Fermi level ... 9.48 states/eV per cell
# E_form ... -186 meV per atom
data_K3Sn5Bi2
_cell_length_a 13.851
_cell_length_b 14.936
_cell_length_c 7.153
_cell_angle_alpha 90.00
_cell_angle_beta 90.00
_cell_angle_gamma 90.00
_symmetry_space_group_name_H-M 'I b a m'
_symmetry_Int_Tables_number 72
_symmetry_space_group_name_Hall '-I 2 2c'
loop_
_atom_site_label
_atom_site_fract_x
_atom_site_fract_y
_atom_site_fract_z
K1 0.000 0.000 0.250
K2 0.235 0.383 0.000
Sn1 0.000 0.253 0.250
Sn2 0.000 0.500 0.250
Sn3 0.122 0.377 0.500
Bi1 0.156 0.151 0.000

***

5.
# PBE Au2C2Se, optimized geometry
# Size of the total moment ... 0.00 μB/f.u.
# Excess energy over the best structure of this formula in the dataset ... 0.00 kJ/mol of atoms
# Energy ... -4.658 eV per atom
# Density of states at the Fermi level ... 3.19 states/eV per cell
data_Au2C2Se
_cell_length_a 7.673
_cell_length_b 7.673
_cell_length_c 3.107
_cell_angle_alpha 90.00
_cell_angle_beta 90.00
_cell_angle_gamma 90.00
_symmetry_space_group_name_H-M 'P 4/m b m'
_symmetry_Int_Tables_number 127
_symmetry_space_group_name_Hall '-P 4 2ab'
loop_
_atom_site_label
_atom_site_fract_x
_atom_site_fract_y
_atom_site_fract_z
Au1 0.184 0.316 0.000
C1 0.060 0.440 0.500
Se1 0.000 0.000 0.000

***

6.
# PBE ScTeCl2, optimized geometry
# Size of the total moment ... 1.00 μB/f.u.
# Excess energy over the best structure of this formula in the dataset ... 31.98 kJ/mol of atoms
# Energy ... -4.469 eV per atom
# Density of states at the Fermi level ... 2.32 states/eV per cell
data_ScTeCl2
_cell_length_a 8.978
_cell_length_b 8.978
_cell_length_c 5.813
_cell_angle_alpha 90.00
_cell_angle_beta 90.00
_cell_angle_gamma 90.00
_symmetry_space_group_name_H-M 'I -4 2 d'
_symmetry_Int_Tables_number 122
_symmetry_space_group_name_Hall 'I -4 2bw'
loop_
_atom_site_label
_atom_site_fract_x
_atom_site_fract_y
_atom_site_fract_z
Sc1 0.000 0.000 0.000
Te1 0.000 0.000 0.500
Cl1 0.111 0.250 0.125